# 1
# SiRhW2 | the Alexandria database | GGA-PBE | relaxed
# - M_tot (μB/f.u.) = 0.00
# - density (g/cm3) = 14.23
# - total DFT energy (no corrections) (eV/atom) = -9.740
data_SiRhW2
_chemical_formula_sum 'Si1 Rh1 W2'
_cell_length_a 2.8562
_cell_length_b 2.8562
_cell_length_c 7.1341
_cell_angle_alpha 90.00
_cell_angle_beta 90.00
_cell_angle_gamma 90.00
_space_group_name_H-M_alt 'P 1'
_space_group_IT_number 1
loop_
_space_group_symop_operation_xyz
'x,y,z'
loop_
_atom_site_label
_atom_site_fract_x
_atom_site_fract_y
_atom_site_fract_z
Si1 0.0000 0.0000 0.0000
Rh1 0.0000 0.0000 0.5000
W1 0.5000 0.5000 0.2336
W2 0.5000 0.5000 0.7664

***

# 2
# Li6RhAu2 | the Alexandria database | GGA-PBE | relaxed
# - M_tot (μB/f.u.) = 0.00
# - energy above the most stable polymorph in this dataset (meV/atom) = 222
# - density (g/cm3) = 5.40
# - total DFT energy (no corrections) (eV/atom) = -2.949
data_Li6RhAu2
_chemical_formula_sum 'Li6 Rh1 Au2'
_cell_length_a 7.2113
_cell_length_b 7.2113
_cell_length_c 4.3876
_cell_angle_alpha 107.65
_cell_angle_beta 107.65
_cell_angle_gamma 50.41
_space_group_name_H-M_alt 'P 1'
_space_group_IT_number 1
loop_
_space_group_symop_operation_xyz
'x,y,z'
loop_
_atom_site_label
_atom_site_fract_x
_atom_site_fract_y
_atom_site_fract_z
Li1 0.0857 0.5905 0.3381
Li2 0.2176 0.7824 0.0000
Li3 0.4095 0.9143 0.6619
Li4 0.5905 0.0857 0.3381
Li5 0.7824 0.2176 0.0000
Li6 0.9143 0.4095 0.6619
Rh1 0.0000 0.0000 0.5000
Au1 0.3382 0.3382 0.8381
Au2 0.6618 0.6618 0.1619

***

# 3
# LiAcEu2 | the Alexandria database | GGA-PBE | relaxed
# - M_tot (μB/f.u.) = 15.26
# - energy above the most stable polymorph in this dataset (meV/atom) = 96
# - density (g/cm3) = 5.77
# - total DFT energy (no corrections) (eV/atom) = -6.500
data_LiAcEu2
_chemical_formula_sum 'Li1 Ac1 Eu2'
_cell_length_a 5.1950
_cell_length_b 5.1950
_cell_length_c 5.7391
_cell_angle_alpha 90.00
_cell_angle_beta 90.00
_cell_angle_gamma 90.00
_space_group_name_H-M_alt 'P 1'
_space_group_IT_number 1
loop_
_space_group_symop_operation_xyz
'x,y,z'
loop_
_atom_site_label
_atom_site_fract_x
_atom_site_fract_y
_atom_site_fract_z
Li1 0.0000 0.0000 0.0000
Ac1 0.5000 0.5000 0.0000
Eu1 0.0000 0.5000 0.5000
Eu2 0.5000 0.0000 0.5000

***

# 4
# Pr2Cu5Ni4 | the Alexandria database | GGA-PBE | relaxed
# - M_tot (μB/f.u.) = 0.00
# - density (g/cm3) = 7.95
# - total DFT energy (no corrections) (eV/atom) = -4.978
data_Pr2Cu5Ni4
_chemical_formula_sum 'Pr2 Cu5 Ni4'
_cell_length_a 9.0832
_cell_length_b 8.3470
_cell_length_c 5.0380
_cell_angle_alpha 81.42
_cell_angle_beta 65.32
_cell_angle_gamma 33.26
_space_group_name_H-M_alt 'P 1'
_space_group_IT_number 1
loop_
_space_group_symop_operation_xyz
'x,y,z'
loop_
_atom_site_label
_atom_site_fract_x
_atom_site_fract_y
_atom_site_fract_z
Pr1 0.1360 0.1360 0.8640
Pr2 0.8640 0.8640 0.1360
Cu1 0.0000 0.0000 0.5000
Cu2 0.2500 0.2500 0.2500
Cu3 0.5000 0.5000 0.0000
Cu4 0.5000 0.5000 0.5000
Cu5 0.7500 0.7500 0.7500
Ni1 0.2099 0.5370 0.4630
Ni2 0.4630 0.7901 0.2099
Ni3 0.5370 0.2099 0.7901
Ni4 0.7901 0.4630 0.5370

***

# 5
# CaTeSe | the Alexandria database | GGA-PBE | relaxed
# - M_tot (μB/f.u.) = 0.00
# - energy above the most stable polymorph in this dataset (meV/atom) = 64
# - density (g/cm3) = 4.45
# - total DFT energy (no corrections) (eV/atom) = -3.935
data_CaTeSe
_chemical_formula_sum 'Ca1 Te1 Se1'
_cell_length_a 3.9400
_cell_length_b 3.9400
_cell_length_c 5.9308
_cell_angle_alpha 90.00
_cell_angle_beta 90.00
_cell_angle_gamma 90.00
_space_group_name_H-M_alt 'P 1'
_space_group_IT_number 1
loop_
_space_group_symop_operation_xyz
'x,y,z'
loop_
_atom_site_label
_atom_site_fract_x
_atom_site_fract_y
_atom_site_fract_z
Ca1 0.0000 0.0000 0.0000
Te1 0.5000 0.5000 0.3208
Se1 0.5000 0.5000 0.8138

***

# 6
# TbPrDy2 | the Alexandria database | GGA-PBE | relaxed
# - M_tot (μB/f.u.) = 0.00
# - energy above the most stable polymorph in this dataset (meV/atom) = 58
# - density (g/cm3) = 7.90
# - total DFT energy (no corrections) (eV/atom) = -4.597
data_TbPrDy2
_chemical_formula_sum 'Tb1 Pr1 Dy2'
_cell_length_a 5.5934
_cell_length_b 6.8483
_cell_length_c 6.8483
_cell_angle_alpha 30.04
_cell_angle_beta 90.00
_cell_angle_gamma 90.00
_space_group_name_H-M_alt 'P 1'
_space_group_IT_number 1
loop_
_space_group_symop_operation_xyz
'x,y,z'
loop_
_atom_site_label
_atom_site_fract_x
_atom_site_fract_y
_atom_site_fract_z
Tb1 0.0000 0.0000 0.0000
Pr1 0.5000 0.1271 0.1271
Dy1 0.0000 0.7413 0.7413
Dy2 0.5000 0.3859 0.3859

***

# 7
# AlSi2Au | the Alexandria database | GGA-PBE | relaxed
# - M_tot (μB/f.u.) = 0.00
# - density (g/cm3) = 7.05
# - total DFT energy (no corrections) (eV/atom) = -4.185
data_AlSi2Au
_chemical_formula_sum 'Al1 Si2 Au1'
_cell_length_a 4.8784
_cell_length_b 4.8784
_cell_length_c 4.8784
_cell_angle_alpha 130.28
_cell_angle_beta 130.28
_cell_angle_gamma 72.96
_space_group_name_H-M_alt 'P 1'
_space_group_IT_number 1
loop_
_space_group_symop_operation_xyz
'x,y,z'
loop_
_atom_site_label
_atom_site_fract_x
_atom_site_fract_y
_atom_site_fract_z
Al1 0.0000 0.0000 0.0000
Si1 0.2500 0.7500 0.5000
Si2 0.7500 0.2500 0.5000
Au1 0.5000 0.5000 0.0000

***

# 8
# La4ZnCd3 | the Alexandria database | GGA-PBE | relaxed
# - M_tot (μB/f.u.) = 0.19
# - density (g/cm3) = 6.76
# - total DFT energy (no corrections) (eV/atom) = -3.293
data_La4ZnCd3
_chemical_formula_sum 'La4 Zn1 Cd3'
_cell_length_a 3.8783
_cell_length_b 3.8783
_cell_length_c 15.6582
_cell_angle_alpha 90.00
_cell_angle_beta 90.00
_cell_angle_gamma 90.00
_space_group_name_H-M_alt 'P 1'
_space_group_IT_number 1
loop_
_space_group_symop_operation_xyz
'x,y,z'
loop_
_atom_site_label
_atom_site_fract_x
_atom_site_fract_y
_atom_site_fract_z
La1 0.0000 0.0000 0.1104
La2 0.0000 0.0000 0.3721
La3 0.0000 0.0000 0.6279
La4 0.0000 0.0000 0.8896
Zn1 0.5000 0.5000 0.0000
Cd1 0.5000 0.5000 0.2427
Cd2 0.5000 0.5000 0.5000
Cd3 0.5000 0.5000 0.7573

***

# 9
# V3BMo | the Alexandria database | GGA-PBE | relaxed
# - M_tot (μB/f.u.) = 0.64
# - energy above the most stable polymorph in this dataset (meV/atom) = 135
# - density (g/cm3) = 6.48
# - total DFT energy (no corrections) (eV/atom) = -8.833
data_V3BMo
_chemical_formula_sum 'V3 B1 Mo1'
_cell_length_a 4.0508
_cell_length_b 4.0508
_cell_length_c 4.0508
_cell_angle_alpha 90.00
_cell_angle_beta 90.00
_cell_angle_gamma 90.00
_space_group_name_H-M_alt 'P 1'
_space_group_IT_number 1
loop_
_space_group_symop_operation_xyz
'x,y,z'
loop_
_atom_site_label
_atom_site_fract_x
_atom_site_fract_y
_atom_site_fract_z
V1 0.0000 0.0000 0.5000
V2 0.0000 0.5000 0.0000
V3 0.5000 0.0000 0.0000
B1 0.0000 0.0000 0.0000
Mo1 0.5000 0.5000 0.5000

***

# 10
# Ba2AgPdI | the Alexandria database | GGA-PBE | relaxed
# - M_tot (μB/f.u.) = 0.00
# - density (g/cm3) = 5.25
# - total DFT energy (no corrections) (eV/atom) = -3.321
data_Ba2AgPdI
_chemical_formula_sum 'Ba2 Ag1 Pd1 I1'
_cell_length_a 6.1153
_cell_length_b 6.1153
_cell_length_c 5.2133
_cell_angle_alpha 90.00
_cell_angle_beta 90.00
_cell_angle_gamma 90.00
_space_group_name_H-M_alt 'P 1'
_space_group_IT_number 1
loop_
_space_group_symop_operation_xyz
'x,y,z'
loop_
_atom_site_label
_atom_site_fract_x
_atom_site_fract_y
_atom_site_fract_z
Ba1 0.0000 0.5000 0.0000
Ba2 0.5000 0.0000 0.0000
Ag1 0.0000 0.0000 0.5000
Pd1 0.0000 0.0000 0.0000
I1 0.5000 0.5000 0.5000

***

# 11
# EuDy | the Alexandria database | GGA-PBE | relaxed
# - M_tot (μB/f.u.) = 7.68
# - energy above the most stable polymorph in this dataset (meV/atom) = 0
# - density (g/cm3) = 7.34
# - total DFT energy (no corrections) (eV/atom) = -7.332
data_EuDy
_chemical_formula_sum 'Eu2 Dy2'
_cell_length_a 3.6868
_cell_length_b 5.9252
_cell_length_c 6.5160
_cell_angle_alpha 90.00
_cell_angle_beta 90.14
_cell_angle_gamma 90.00
_space_group_name_H-M_alt 'P 1'
_space_group_IT_number 1
loop_
_space_group_symop_operation_xyz
'x,y,z'
loop_
_atom_site_label
_atom_site_fract_x
_atom_site_fract_y
_atom_site_fract_z
Eu1 0.0010 0.2500 0.3316
Eu2 0.9990 0.7500 0.6684
Dy1 0.5004 0.2500 0.8458
Dy2 0.4996 0.7500 0.1542

***

# 12
# Pr4Sm5Tm2 | the Alexandria database | GGA-PBE | relaxed
# - M_tot (μB/f.u.) = 0.00
# - energy above the most stable polymorph in this dataset (meV/atom) = 163
# - density (g/cm3) = 7.08
# - total DFT energy (no corrections) (eV/atom) = -4.436
data_Pr4Sm5Tm2
_chemical_formula_sum 'Pr4 Sm5 Tm2'
_cell_length_a 12.6473
_cell_length_b 12.6473
_cell_length_c 12.6473
_cell_angle_alpha 163.96
_cell_angle_beta 135.96
_cell_angle_gamma 47.16
_space_group_name_H-M_alt 'P 1'
_space_group_IT_number 1
loop_
_space_group_symop_operation_xyz
'x,y,z'
loop_
_atom_site_label
_atom_site_fract_x
_atom_site_fract_y
_atom_site_fract_z
Pr1 0.0959 0.0959 0.0000
Pr2 0.2064 0.5000 0.7064
Pr3 0.7936 0.5000 0.2936
Pr4 0.9041 0.9041 0.0000
Sm1 0.1421 0.3478 0.7943
Sm2 0.4465 0.6522 0.7943
Sm3 0.5000 0.0000 0.5000
Sm4 0.5535 0.3478 0.2057
Sm5 0.8579 0.6522 0.2057
Tm1 0.2301 0.2301 0.0000
Tm2 0.7699 0.7699 0.0000

***

# 13
# UInGaPd | the Alexandria database | GGA-PBE | relaxed
# - M_tot (μB/f.u.) = 2.51
# - density (g/cm3) = 10.76
# - total DFT energy (no corrections) (eV/atom) = -5.775
data_UInGaPd
_chemical_formula_sum 'U1 In1 Ga1 Pd1'
_cell_length_a 4.8692
_cell_length_b 4.8692
_cell_length_c 4.8692
_cell_angle_alpha 60.00
_cell_angle_beta 60.00
_cell_angle_gamma 60.00
_space_group_name_H-M_alt 'P 1'
_space_group_IT_number 1
loop_
_space_group_symop_operation_xyz
'x,y,z'
loop_
_atom_site_label
_atom_site_fract_x
_atom_site_fract_y
_atom_site_fract_z
U1 0.0000 0.0000 0.0000
In1 0.5000 0.5000 0.5000
Ga1 0.2500 0.2500 0.2500
Pd1 0.7500 0.7500 0.7500